A plane-wave DFT calculation with PBE was carried out for an optimized crystal structure of V2Ag4I.

Cell and atoms, written as POSCAR:
```
V2Ag4I
1.0
5.423 0.000 0.000
0.000 5.423 0.000
2.711 2.711 6.881
V Ag I
2 4 1
Direct
0.593 0.593 0.814 V
0.407 0.407 0.186 V
0.000 0.500 0.000 Ag
0.786 0.786 0.428 Ag
0.500 0.000 0.000 Ag
0.214 0.214 0.572 Ag
0.000 0.000 0.000 I
```

Computed properties:
- uncorrected formation energy (eV/atom) = 1.22
- space group = No. 139
- total magnetization (μB per formula unit) = 6.93